! Ac2TmSnPt6 (PBE-GGA, optimized geometry); values from VASP
&SYSTEM
  ibrav = 0, nat = 10, ntyp = 4
/
ATOMIC_SPECIES
Tm 168.93 Tm.upf
Pt 195.08 Pt.upf
Sn 118.71 Sn.upf
Ac 227.00 Ac.upf
ATOMIC_POSITIONS angstrom
Tm 3.587 3.586 0.000
Pt 3.587 3.586 2.558
Pt 1.778 5.395 0.000
Sn 0.000 0.000 0.000
Pt 5.395 1.777 0.000
Pt 7.173 7.173 2.514
Pt 1.778 1.778 0.000
Ac 3.587 7.173 2.536
Ac 7.173 3.586 2.536
Pt 8.982 8.981 5.072
CELL_PARAMETERS angstrom
7.173 0.000 0.000
0.000 7.173 0.000
3.587 3.586 5.072
! - formation energy (eV/atom) = -0.331
! - space group = Fm-3m
! - volume (Å³/atom) = 26.10